## Ge2BiSb2 (PBE-GGA)

Data for an optimized crystal structure of Ge2BiSb2.

a b c (Å): 8.5828 8.5828 8.5828
angles (deg): 152.84 152.84 38.79
Last column: nearest neighbours and their distance in Å.
Sites, in units of the cell vectors:
Ge 0.2500 0.7500 0.5000  4 Ge 2.85, 4 Sb 3.06
Ge 0.7500 0.2500 0.5000  4 Ge 2.85, 4 Sb 3.06
Bi 0.0000 0.0000 0.0000  8 Sb 3.34
Sb 0.3921 0.3921 0.0000  4 Ge 3.06, 4 Bi 3.34
Sb 0.6079 0.6079 0.0000  4 Ge 3.06, 4 Bi 3.34

energy	-20.2	eV for the cell shown
crystal system	tetragonal

***

## Ge2BiSb2 (PBE-GGA)

Data for an optimized crystal structure of Ge2BiSb2.

a b c (Å): 8.2155 8.2155 3.7339
angles (deg): 90.00 90.00 90.00
Last column: nearest neighbours and their distance in Å.
Sites, in units of the cell vectors:
Ge 0.1366 0.3634 0.0000  6 Sb 3.01-3.08, 1 Ge 3.17, 2 Bi 3.19
Ge 0.3634 0.8634 0.0000  6 Sb 3.01-3.08, 1 Ge 3.17, 2 Bi 3.19
Ge 0.6366 0.1366 0.0000  6 Sb 3.01-3.08, 1 Ge 3.17, 2 Bi 3.19
Ge 0.8634 0.6366 0.0000  6 Sb 3.01-3.08, 1 Ge 3.17, 2 Bi 3.19
Bi 0.0000 0.0000 0.0000  4 Ge 3.19
Bi 0.5000 0.5000 0.0000  4 Ge 3.19
Sb 0.1601 0.6601 0.5000  6 Ge 3.01-3.08
Sb 0.3399 0.1601 0.5000  6 Ge 3.01-3.08
Sb 0.6601 0.8399 0.5000  6 Ge 3.01-3.08
Sb 0.8399 0.3399 0.5000  6 Ge 3.01-3.08

energy	-40.1	eV for the cell shown
crystal system	tetragonal

***

Which of these has the highest energy?
number 1

***

What is the energy in the first record?
-20.2 eV for the cell shown